# LiBrF2 PBE optimized geometry
# relative energy among the computed polymorphs = 0 meV per atom
# raw formation energy = -1.646 eV per atom
data_LiBrF2
_space_group_name_H-M_alt 'R -3 m'
_space_group_IT_number 166
_space_group_name_Hall '-R 3 2"'
_cell_length_a 3.5267
_cell_length_b 3.5267
_cell_length_c 17.6154
_cell_angle_alpha 90.00
_cell_angle_beta 90.00
_cell_angle_gamma 120.00
loop_
_atom_site_label
_atom_site_type_symbol
_atom_site_fract_x
_atom_site_fract_y
_atom_site_fract_z
Li1 Li 0.0000 0.0000 0.0000
Br1 Br 0.0000 0.0000 0.5000
F1 F 0.0000 0.0000 0.3852

***

# Ce2PrGaCo PBE optimized geometry
# formation energy from the elements = -0.15 eV per atom
data_Ce2PrGaCo
_space_group_name_H-M_alt 'P 4 m m'
_space_group_IT_number 99
_space_group_name_Hall 'P 4 -2'
_cell_length_a 4.915
_cell_length_b 4.915
_cell_length_c 5.620
_cell_angle_alpha 90.00
_cell_angle_beta 90.00
_cell_angle_gamma 90.00
loop_
_atom_site_label
_atom_site_type_symbol
_atom_site_fract_x
_atom_site_fract_y
_atom_site_fract_z
Ce1 Ce 0.000 0.500 0.000
Pr1 Pr 0.000 0.000 0.500
Ga1 Ga 0.500 0.500 0.502
Co1 Co 0.000 0.000 0.000

***

Respective E values: -41.74 -27.53 eV for the cell shown.